1.
SCAN K2MgFe, single point on PBEsol structure; size of the total moment = 3.0 μB/f.u.; symmetry = Pm, No. 6; excess energy over the best structure of this formula in the dataset = 0 meV/atom; calculated density = 1916 kg/m³; ΔH_f (0 K) = 0.54 eV per atom; uncorrected energy = -37.61 eV/cell
1.0
-2.872 1.706 -1.130
-1.538 -0.310 3.441
4.183 9.014 2.682
K Mg Fe
2 1 1
Cartesian
0.998 9.973 1.346
-0.885 3.618 2.009
2.462 5.313 1.580
0.600 6.732 2.954


2.
SCAN Sc3Cu4, single point on PBEsol structure; size of the total moment = 0.9 μB/f.u.; symmetry = I4/mmm, No. 139; calculated density = 5809 kg/m³; ΔH_f (0 K) = -0.22 eV per atom; uncorrected energy = -105.08 eV/cell
1.0
-0.077 -2.985 1.264
2.438 -0.886 -1.946
5.788 4.883 7.730
Cu Sc
4 3
Cartesian
2.142 -1.529 0.678
6.007 2.541 6.370
1.768 0.748 1.875
6.380 0.264 5.173
4.227 1.788 4.483
0.000 0.000 0.000
3.921 -0.777 2.565


3.
SCAN CuAg2Cl, single point on PBEsol structure; size of the total moment = 0.0 μB/f.u.; symmetry = Imm2, No. 44; excess energy over the best structure of this formula in the dataset = 18 meV/atom; raw formation energy = 0.010 eV per atom; calculated density = 7354 kg/m³; uncorrected energy = -85.87 eV/cell
1.0
-0.936 -2.818 -0.124
2.032 -0.518 -3.575
4.141 -0.016 4.758
Ag Cl Cu
2 1 1
Cartesian
2.154 -2.351 1.565
4.575 -3.115 0.648
1.130 -1.877 -1.488
3.163 -1.030 -0.456


4.
SCAN NaIBr3, single point on PBEsol structure; size of the total moment = 0.0 μB/f.u.; symmetry = Pm-3m, No. 221; raw formation energy = -0.398 eV per atom; calculated density = 3303 kg/m³; uncorrected energy = -101.33 eV/cell
1.0
-1.426 3.383 -4.499
-5.149 -2.661 -0.369
-2.277 3.898 3.653
Br I Na
3 1 1
Cartesian
-2.574 -1.330 -0.185
-0.713 1.692 -2.250
-1.138 1.949 1.827
0.000 0.000 0.000
-4.426 2.311 -0.608


5.
SCAN KAg2Ir, single point on PBEsol structure; size of the total moment = 0.0 μB/f.u.; symmetry = Pm, No. 6; excess energy over the best structure of this formula in the dataset = 0 meV/atom; calculated density = 8531 kg/m³; ΔH_f (0 K) = 0.49 eV per atom; uncorrected energy = -140.21 eV/cell
1.0
-0.034 -2.677 -0.233
4.288 -0.200 1.664
-2.543 0.697 6.637
K Ag Ir
1 2 1
Cartesian
0.230 -1.107 5.643
1.345 -0.782 2.809
-0.145 -0.550 0.307
-1.025 -2.069 2.394


6.
SCAN YWAuO2, single point on PBEsol structure; size of the total moment = 2.7 μB/f.u.; symmetry = P4/mmm, No. 123; raw formation energy = 1.120 eV per atom; calculated density = 9194 kg/m³; uncorrected energy = -173.55 eV/cell
1.0
-1.476 3.807 -0.350
-3.719 -1.517 -0.815
-1.167 0.032 5.268
O W Y Au
2 1 1 1
Cartesian
-1.859 -0.758 -0.407
-0.738 1.904 -0.175
-3.181 1.161 2.051
-0.583 0.016 2.634
0.000 0.000 0.000


7.
SCAN CdSiW2, single point on PBEsol structure; size of the total moment = 0.0 μB/f.u.; symmetry = F-43m, No. 216; excess energy over the best structure of this formula in the dataset = 243 meV/atom; raw formation energy = 0.681 eV per atom; calculated density = 13427 kg/m³; uncorrected energy = -177.08 eV/cell
1.0
-2.375 -2.496 -2.836
2.085 -2.617 -2.954
-0.107 -4.435 0.482
Si Cd W
1 1 2
Cartesian
-0.298 -7.161 -3.981
-0.199 -4.774 -2.654
-0.099 -2.387 -1.327
0.000 0.000 0.000


8.
SCAN TaPt3W, single point on PBEsol structure; size of the total moment = 3.0 μB/f.u.; symmetry = Pm-3m, No. 221; calculated density = 14850 kg/m³; ΔH_f (0 K) = 1.61 eV per atom; uncorrected energy = -338.81 eV/cell
1.0
4.736 0.000 0.000
0.000 4.736 0.000
0.000 0.000 4.736
W Pt Ta
1 3 1
Cartesian
2.368 2.368 2.368
0.000 0.000 2.368
0.000 2.368 0.000
2.368 0.000 0.000
0.000 0.000 0.000


9.
SCAN Na2ZnGaGe, single point on PBEsol structure; size of the total moment = 0.0 μB/f.u.; symmetry = P4/mmm, No. 123; calculated density = 3226 kg/m³; ΔH_f (0 K) = 0.29 eV per atom; uncorrected energy = -55.93 eV/cell
1.0
4.542 0.000 0.000
0.000 5.363 0.000
0.000 0.000 5.363
Na Ge Zn Ga
2 1 1 1
Cartesian
0.000 0.000 2.681
0.000 2.681 0.000
2.271 0.000 0.000
0.000 0.000 0.000
2.271 2.681 2.681


10.
SCAN FeRe3O, single point on PBEsol structure; size of the total moment = 2.1 μB/f.u.; symmetry = Pm-3m, No. 221; raw formation energy = 0.492 eV per atom; calculated density = 16447 kg/m³; uncorrected energy = -235.19 eV/cell
1.0
3.993 0.000 0.000
0.000 3.993 0.000
0.000 0.000 3.993
Fe Re O
1 3 1
Cartesian
1.996 1.996 1.996
0.000 0.000 1.996
0.000 1.996 0.000
1.996 0.000 0.000
0.000 0.000 0.000